4
Lattice="0.0000 3.5174 3.5174 3.5174 0.0000 3.5174 3.5174 3.5174 0.0000" Properties=species:S:1:pos:R:3 comment="PBE-GGA CePrIrRu, relaxed" e_form_mev_per_atom=-359 pbc="T T T"
Ce 0.0000 0.0000 0.0000
Pr 3.5174 3.5174 3.5174
Ir 1.7587 1.7587 1.7587
Ru 5.2760 5.2760 5.2760